Entry 1:
La4HOs: relaxed, GGA-PBE.

Its relative energy among the computed polymorphs is 101 meV/atom.

The space group is P2_1/m (No. 11) and the conventional cell measures 5.9655, 9.0856 and 7.0287 Å, with angles of 90.00, 113.03 and 90.00 degrees. The asymmetric unit holds La at (0.0989, 0.2500, 0.1560), La at (0.2644, 0.7500, 0.4377), La at (0.3406, 0.0431, 0.7429), H at (0.3287, 0.2500, 0.5180) and Os at (0.4326, 0.7500, 0.9049).

***

Entry 2:
La2H2Os: relaxed, GGA-PBE.

For the electronic total energy, the calculation gives -58.6 eV for the cell shown.

The space group is I4/mmm (No. 139) and the conventional cell measures 3.6087, 3.6087 and 13.5959 Å, with angles of 90.00, 90.00 and 90.00 degrees. The asymmetric unit holds La at (0.0000, 0.0000, 0.1299), H at (0.0000, 0.5000, 0.2500) and Os at (0.0000, 0.0000, 0.5000).

***

Entry 3:
LaH2Os: relaxed, GGA-PBE.

Its relative energy among the computed polymorphs is 0 meV/atom.

The space group is I-42d (No. 122) and the conventional cell measures 4.3668, 4.3668 and 11.2646 Å, with angles of 90.00, 90.00 and 90.00 degrees. The asymmetric unit holds La at (0.0000, 0.0000, 0.0000), H at (0.0815, 0.2500, 0.6250) and Os at (0.0000, 0.0000, 0.5000).

***

Entry 4:
LaH6Os: relaxed, GGA-PBE.

For the electronic total energy, the calculation gives -114.6 eV for the cell shown.

The space group is R-3m (No. 166, hexagonal axes) and the conventional cell measures 4.7804, 4.7804 and 11.1105 Å, with angles of 90.00, 90.00 and 120.00 degrees. The asymmetric unit holds La at (0.0000, 0.0000, 0.0000), H at (0.0297, 0.5148, 0.9068) and Os at (0.0000, 0.0000, 0.5000).

***

Entry 5:
La3HOs: relaxed, GGA-PBE.

Its relative energy among the computed polymorphs is 0 meV/atom.

The space group is C2/m (No. 12) and the conventional cell measures 12.9424, 5.7688 and 7.8864 Å, with angles of 90.00, 110.44 and 90.00 degrees. The asymmetric unit holds La at (0.0021, 0.0000, 0.2515), La at (0.1692, 0.5000, 0.0618), La at (0.1781, 0.5000, 0.5880), H at (0.1737, 0.0000, 0.0779) and Os at (0.1734, 0.0000, 0.6174).

***

Entry 6:
LaH4Os: relaxed, GGA-PBE.

For the electronic total energy, the calculation gives -124.5 eV for the cell shown.

The space group is Ama2 (No. 40) and the conventional cell measures 8.5364, 7.8184 and 3.8109 Å, with angles of 90.00, 90.00 and 90.00 degrees. The asymmetric unit holds La at (0.0000, 0.0000, 0.0000), H at (0.0494, 0.1887, 0.4898), H at (0.2500, 0.1821, 0.9917), H at (0.2500, 0.4738, 0.0961) and Os at (0.2500, 0.1829, 0.4818).

***

Entry 7:
La12H5Os3: relaxed, GGA-PBE.

For the electronic total energy, the calculation gives -914.0 eV for the cell shown.

The space group is Ia-3d (No. 230) and the conventional cell measures 15.8566, 15.8566 and 15.8566 Å, with angles of 90.00, 90.00 and 90.00 degrees. The asymmetric unit holds La at (0.0311, 0.0664, 0.6552), H at (0.0000, 0.0000, 0.0000), H at (0.0000, 0.2500, 0.3750) and Os at (0.0000, 0.2500, 0.1250).

***

Entry 8:
LaH2Os: relaxed, GGA-PBE.

Its relative energy among the computed polymorphs is 455 meV/atom.

The space group is Fm-3m (No. 225) and the conventional cell measures 5.9527, 5.9527 and 5.9527 Å, with angles of 90.00, 90.00 and 90.00 degrees. The asymmetric unit holds La at (0.0000, 0.0000, 0.0000), H at (0.2500, 0.2500, 0.2500) and Os at (0.0000, 0.0000, 0.5000).

***

Calculated theoretical density, 7.1, 8.8, 10.2, 7.6, 7.3, 8.7, 7.5, 10.4 Mg/m³ (same order as the records).